1.
Compound: RbHfOsPb2
Source: Alexandria via LeMat-Bulk
Functional: PBE
Structure: optimized geometry

The value obtained for the calculated total energy is -0.331 Ry/atom. Its energy of formation from the pure elements is 1.407 eV per atom.

The structure belongs to space group P4/mmm (No. 123); the cell edges are 5.299, 5.299 and 5.740 Å and the angles 90.00°, 90.00° and 90.00°. The distinct sites, in fractional coordinates, are Rb at (0.000, 0.000, 0.000), Hf at (0.500, 0.500, 0.000), Os at (0.000, 0.000, 0.500) and Pb at (0.000, 0.500, 0.500).

2.
Compound: PaTlCu2F8
Source: Alexandria via LeMat-Bulk
Functional: PBE
Structure: optimized geometry

The calculation puts the raw formation energy at -2467.6 meV per atom. The value obtained for the calculated total energy is -0.396 Ry/atom.

The structure belongs to space group R-3 (No. 148, hexagonal axes); the cell edges are 5.1249, 5.1249 and 24.6362 Å and the angles 90.00°, 90.00° and 120.00°. The distinct sites, in fractional coordinates, are Pa at (0.0000, 0.0000, 0.0000), Tl at (0.0000, 0.0000, 0.5000), Cu at (0.0000, 0.0000, 0.2217), F at (0.0000, 0.0000, 0.1460) and F at (0.0056, 0.3152, 0.7165).

3.
Compound: LaTb5YTm2
Source: Alexandria via LeMat-Bulk
Functional: PBE
Structure: optimized geometry

The value obtained for the calculated total energy is -0.343 Ry/atom. Its energy of formation from the pure elements is 0.165 eV per atom.

The structure belongs to space group Cmc2_1 (No. 36); the cell edges are 5.622, 19.856 and 10.568 Å and the angles 90.00°, 90.00° and 90.00°. The distinct sites, in fractional coordinates, are La at (0.000, 0.082, 0.000), Tb at (0.000, 0.021, 0.288), Tb at (0.000, 0.113, 0.574), Tb at (0.000, 0.202, 0.261), Tb at (0.000, 0.219, 0.864), Tb at (0.000, 0.483, 0.575), Y at (0.000, 0.300, 0.563), Tm at (0.000, 0.386, 0.870) and Tm at (0.000, 0.388, 0.284).

4.
Compound: Sr2BHO
Source: Alexandria via LeMat-Bulk
Functional: PBE
Structure: optimized geometry

The value obtained for the calculated total energy is -0.285 Ry/atom.

The structure belongs to space group P4/mmm (No. 123); the cell edges are 5.076, 5.076 and 3.283 Å and the angles 90.00°, 90.00° and 90.00°. The distinct sites, in fractional coordinates, are Sr at (0.000, 0.500, 0.000), B at (0.000, 0.000, 0.500), H at (0.500, 0.500, 0.500) and O at (0.500, 0.500, 0.000).

5.
Compound: Sr2Ac3Tl4
Source: Alexandria via LeMat-Bulk
Functional: PBE
Structure: optimized geometry

The value obtained for the calculated total energy is -0.223 Ry/atom. The value obtained for the polymorph energy (0 for the lowest one) is 80 meV per atom. Its energy of formation from the pure elements is -0.239 eV per atom.

The structure belongs to space group Cmce (No. 64); the cell edges are 7.651, 20.550 and 8.984 Å and the angles 90.00°, 90.00° and 90.00°. The distinct sites, in fractional coordinates, are Sr at (0.000, 0.096, 0.086), Ac at (0.000, 0.000, 0.500), Ac at (0.250, 0.234, 0.750), Tl at (0.000, 0.164, 0.459) and Tl at (0.250, 0.071, 0.750).

6.
Compound: Cs2ScPd
Source: Alexandria via LeMat-Bulk
Functional: PBE
Structure: optimized geometry

The value obtained for the calculated total energy is -0.179 Ry/atom. The value obtained for the polymorph energy (0 for the lowest one) is 546 meV per atom. Its energy of formation from the pure elements is 0.877 eV per atom.

The structure belongs to space group Fm-3m (No. 225); the cell edges are 8.730, 8.730 and 8.730 Å and the angles 90.00°, 90.00° and 90.00°. The distinct sites, in fractional coordinates, are Cs at (0.250, 0.250, 0.250), Sc at (0.000, 0.000, 0.000) and Pd at (0.000, 0.000, 0.500).

7.
Compound: Pm2Dy3Ho3
Source: Alexandria via LeMat-Bulk
Functional: PBE
Structure: optimized geometry

The value obtained for the calculated total energy is -0.340 Ry/atom. The value obtained for the polymorph energy (0 for the lowest one) is 0 meV per atom. Its energy of formation from the pure elements is 0.002 eV per atom.

The structure belongs to space group C2/m (No. 12); the cell edges are 23.847, 3.578 and 6.195 Å and the angles 90.00°, 105.05° and 90.00°. The distinct sites, in fractional coordinates, are Pm at (0.250, 0.000, 0.250), Dy at (0.000, 0.000, 0.000), Dy at (0.124, 0.000, 0.457), Ho at (0.000, 0.500, 0.500) and Ho at (0.124, 0.500, 0.957).

8.
Compound: KAgO
Source: Alexandria via LeMat-Bulk
Functional: PBE
Structure: optimized geometry

The calculation puts the raw formation energy at -801.0 meV per atom. The value obtained for the calculated total energy is -0.277 Ry/atom.

The structure belongs to space group I4/mmm (No. 139); the cell edges are 10.030, 10.030 and 5.544 Å and the angles 90.00°, 90.00° and 90.00°. The distinct sites, in fractional coordinates, are K at (0.000, 0.322, 0.000), Ag at (0.148, 0.148, 0.500) and O at (0.000, 0.294, 0.500).

9.
Compound: YZnTc3
Source: Alexandria via LeMat-Bulk
Functional: PBE
Structure: optimized geometry

The value obtained for the calculated total energy is -0.488 Ry/atom. The value obtained for the polymorph energy (0 for the lowest one) is 0 meV per atom. Its energy of formation from the pure elements is 1.126 eV per atom.

The structure belongs to space group Pm-3m (No. 221); the cell edges are 4.608, 4.608 and 4.608 Å and the angles 90.00°, 90.00° and 90.00°. The distinct sites, in fractional coordinates, are Y at (0.000, 0.000, 0.000), Zn at (0.500, 0.500, 0.500) and Tc at (0.000, 0.500, 0.500).

10.
Compound: Pm3InCu8
Source: Alexandria via LeMat-Bulk
Functional: PBE
Structure: optimized geometry

The value obtained for the calculated total energy is -0.317 Ry/atom. Its energy of formation from the pure elements is -0.161 eV per atom.

The structure belongs to space group R3m (No. 160, hexagonal axes); the cell edges are 5.2613, 5.2613 and 25.8923 Å and the angles 90.00°, 90.00° and 120.00°. The distinct sites, in fractional coordinates, are Pm at (0.0000, 0.0000, 0.0000), Pm at (0.0000, 0.0000, 0.1242), Pm at (0.0000, 0.0000, 0.6188), In at (0.0000, 0.0000, 0.4948), Cu at (0.0000, 0.0000, 0.3103), Cu at (0.0000, 0.0000, 0.8112), Cu at (0.0018, 0.5009, 0.0608) and Cu at (0.0051, 0.5026, 0.5597).

11.
Compound: Dy7Tl2C2
Source: Alexandria via LeMat-Bulk
Functional: PBE
Structure: optimized geometry

The value obtained for the calculated total energy is -0.379 Ry/atom. Its energy of formation from the pure elements is -0.120 eV per atom.

The structure belongs to space group Imm2 (No. 44); the cell edges are 3.498, 14.534 and 10.667 Å and the angles 90.00°, 90.00° and 90.00°. The distinct sites, in fractional coordinates, are Dy at (0.000, 0.000, 0.000), Dy at (0.000, 0.141, 0.571), Dy at (0.000, 0.307, 0.383), Dy at (0.000, 0.347, 0.686), Tl at (0.000, 0.000, 0.337), Tl at (0.000, 0.500, 0.244) and C at (0.000, 0.229, 0.053).

12.
Compound: Li2CdOs
Source: Alexandria via LeMat-Bulk
Functional: PBE
Structure: optimized geometry

The value obtained for the calculated total energy is -0.259 Ry/atom. Its energy of formation from the pure elements is 0.471 eV per atom.

The structure belongs to space group F-43m (No. 216); the cell edges are 6.347, 6.347 and 6.347 Å and the angles 90.00°, 90.00° and 90.00°. The distinct sites, in fractional coordinates, are Li at (0.000, 0.000, 0.000), Li at (0.250, 0.250, 0.250), Cd at (0.000, 0.000, 0.500) and Os at (0.250, 0.250, 0.750).